1.
BaMn2P | SCAN | single point on PBEsol structure

Summary:
- SG = C2/m
- formation enthalpy at 0 K (kJ/mol of formula units) = 155.1

Geometry as POSCAR:
```
BaMn2P
1.0
6.102 0.000 0.000
0.000 9.892 0.000
-1.627 0.000 2.737
Ba Mn P
2 4 2
Cartesian
0.000 0.000 0.000
3.051 4.946 0.000
0.712 2.473 1.368
0.712 7.419 1.368
3.763 2.473 1.368
3.763 7.419 1.368
0.000 4.946 0.000
3.051 0.000 0.000
```

2.
Ba2MnP | SCAN | single point on PBEsol structure

Summary:
- SG = P4mm
- formation enthalpy at 0 K (kJ/mol of formula units) = -68.1

Geometry as POSCAR:
```
Ba2MnP
1.0
3.523 0.000 0.000
0.000 3.523 0.000
0.000 0.000 9.350
Ba Mn P
2 1 1
Cartesian
0.000 0.000 0.000
1.761 1.761 3.908
0.000 0.000 6.438
1.761 1.761 6.985
```

3.
Ba2MnP | SCAN | single point on PBEsol structure

Summary:
- SG = P4/mmm
- formation enthalpy at 0 K (kJ/mol of formula units) = -142.1

Geometry as POSCAR:
```
Ba2MnP
1.0
3.995 0.000 0.000
0.000 3.995 0.000
0.000 0.000 7.695
Ba Mn P
2 1 1
Cartesian
0.000 0.000 1.652
0.000 0.000 6.043
1.997 1.997 3.848
1.997 1.997 0.000
```

4.
BaMnP2 | SCAN | single point on PBEsol structure

Summary:
- SG = R-3m
- formation enthalpy at 0 K (kJ/mol of formula units) = -248.7

Geometry as POSCAR:
```
BaMnP2
1.0
4.000 0.000 0.000
-2.000 3.464 0.000
0.000 0.000 17.032
Ba Mn P
3 3 6
Cartesian
0.000 0.000 0.000
0.000 2.309 11.354
2.000 1.155 5.677
0.000 0.000 8.516
0.000 2.309 2.839
2.000 1.155 14.193
0.000 0.000 3.474
0.000 0.000 13.558
0.000 2.309 7.880
0.000 2.309 14.828
2.000 1.155 2.203
2.000 1.155 9.151
```